Computed, not measured: a relaxed structure of CaPH3 at the PBE level of DFT.

Cell: 3.977 3.977 3.977 Å, 90.00 90.00 90.00°
Fractional coordinates of all 5 atoms:
H 0.500 0.000 0.000
P 0.500 0.500 0.500
H 0.000 0.000 0.500
Ca 0.000 0.000 0.000
H 0.000 0.500 0.000

Values from the calculation:
**Total magnetization**: 0.6 Bohr magnetons per cell
**E above lowest polymorph**: 515 meV per atom
**Mass density**: 1.96 g/cm³